Here is a relaxed structure of AgTePbI from Alexandria. Energies are from PBE-GGA.

Summary:
Formation energy without anion corrections, meV per atom: -185

a b c (Å): 4.4603 4.4603 50.1471
angles (deg): 90.00 90.00 120.00
Space group R-3m (No. 166, hexagonal axes)
One atom of each set of equivalent atoms:
Ag 0.0000 0.0000 0.1063 x6
Te 0.0000 0.0000 0.3964 x6
Pb 0.0000 0.0000 0.3038 x6
I 0.0000 0.0000 0.2043 x6

Here is a relaxed structure of Ac4Sm3DyS8 from Alexandria. Energies are from PBE-GGA.

Summary:
Formation energy without anion corrections, meV per atom: -1997

a b c (Å): 8.2156 8.2156 20.6585
angles (deg): 90.00 90.00 120.00
Space group R-3m (No. 166, hexagonal axes)
One atom of each set of equivalent atoms:
Ac 0.0000 0.0000 0.0000 x3
Ac 0.0000 0.5000 0.0000 x9
Sm 0.0000 0.5000 0.5000 x9
Dy 0.0000 0.0000 0.5000 x3
S 0.0000 0.0000 0.2428 x6
S 0.0051 0.5026 0.2416 x18

Here is a relaxed structure of YHfSc2 from Alexandria. Energies are from PBE-GGA.

Summary:
Offset from the most stable computed form, meV/atom: 152.7

a b c (Å): 7.400 7.400 7.400
angles (deg): 90.00 90.00 90.00
Space group Fm-3m (No. 225)
One atom of each set of equivalent atoms:
Y 0.000 0.000 0.000 x4
Hf 0.000 0.000 0.500 x4
Sc 0.250 0.250 0.250 x8

Here is a relaxed structure of SiSbTe3 from Alexandria. Energies are from PBE-GGA.

Summary:
Formation energy without anion corrections, meV per atom: 892
Offset from the most stable computed form, meV/atom: 447.1

a b c (Å): 5.696 5.696 5.696
angles (deg): 90.00 90.00 90.00
Space group Pm-3m (No. 221)
One atom of each set of equivalent atoms:
Si 0.000 0.000 0.000 x1
Sb 0.500 0.500 0.500 x1
Te 0.000 0.500 0.500 x3

Here is a relaxed structure of Hf2CoIr2 from Alexandria. Energies are from PBE-GGA.

Summary:
Offset from the most stable computed form, meV/atom: 276.2

a b c (Å): 3.677 3.677 14.022
angles (deg): 90.00 90.00 90.00
Space group I4/mmm (No. 139)
One atom of each set of equivalent atoms:
Hf 0.000 0.000 0.108 x4
Co 0.000 0.000 0.500 x2
Ir 0.000 0.500 0.250 x4

Here is a relaxed structure of K2BaCu2Br6 from Alexandria. Energies are from PBE-GGA.

Summary:
Formation energy without anion corrections, meV per atom: -1290

a b c (Å): 10.969 7.826 9.549
angles (deg): 90.00 107.53 90.00
Space group C2/m (No. 12)
One atom of each set of equivalent atoms:
K 0.191 0.000 0.121 x4
Ba 0.000 0.000 0.500 x2
Cu 0.034 0.500 0.304 x4
Br 0.056 0.237 0.806 x8
Br 0.210 0.500 0.519 x4

Here is a relaxed structure of Al5Te from Alexandria. Energies are from PBE-GGA.

Summary:
Formation energy without anion corrections, meV per atom: 219
Offset from the most stable computed form, meV/atom: 61.6

a b c (Å): 7.750 7.750 7.750
angles (deg): 90.00 90.00 90.00
Space group F-43m (No. 216)
One atom of each set of equivalent atoms:
Al 0.000 0.000 0.000 x4
Al 0.126 0.126 0.626 x16
Te 0.250 0.250 0.250 x4

Here is a relaxed structure of Pa2TiSi4Rh3 from Alexandria. Energies are from PBE-GGA.

Summary:
Formation energy without anion corrections, meV per atom: -859

a b c (Å): 4.080 4.080 10.285
angles (deg): 90.00 90.00 90.00
Space group P-4m2 (No. 115)
One atom of each set of equivalent atoms:
Pa 0.000 0.500 0.241 x2
Ti 0.000 0.000 0.500 x1
Si 0.000 0.000 0.000 x1
Si 0.000 0.500 0.646 x2
Si 0.500 0.500 0.000 x1
Rh 0.000 0.500 0.877 x2
Rh 0.500 0.500 0.500 x1

Here is a relaxed structure of ScRh from Alexandria. Energies are from PBE-GGA.

Summary:
Final energy, eV per cell: -57.689

a b c (Å): 4.5367 4.5367 8.1415
angles (deg): 90.00 90.00 120.00
Space group P6_3/mmc (No. 194)
One atom of each set of equivalent atoms:
Sc 0.3333 0.6667 0.0787 x4
Rh 0.0000 0.0000 0.2500 x2
Rh 0.3333 0.6667 0.7500 x2

Here is a relaxed structure of AlCd2In from Alexandria. Energies are from PBE-GGA.

Summary:
Offset from the most stable computed form, meV/atom: 29.8

a b c (Å): 3.117 3.117 9.265
angles (deg): 90.00 90.00 90.00
Space group P4mm (No. 99)
One atom of each set of equivalent atoms:
Al 0.000 0.000 0.000 x1
Cd 0.000 0.000 0.476 x1
Cd 0.500 0.500 0.228 x1
In 0.500 0.500 0.746 x1

Here is a relaxed structure of Ti2NbRe from Alexandria. Energies are from PBE-GGA.

Summary:
Final energy, eV per cell: -38.824

a b c (Å): 4.492 4.492 3.207
angles (deg): 90.00 90.00 90.00
Space group P4/mmm (No. 123)
One atom of each set of equivalent atoms:
Ti 0.000 0.500 0.000 x2
Nb 0.000 0.000 0.500 x1
Re 0.500 0.500 0.500 x1

Here is a relaxed structure of Cu3BP from Alexandria. Energies are from PBE-GGA.

Summary:
Offset from the most stable computed form, meV/atom: 0.0

a b c (Å): 3.977 3.977 3.977
angles (deg): 90.00 90.00 90.00
Space group Pm-3m (No. 221)
One atom of each set of equivalent atoms:
Cu 0.000 0.000 0.500 x3
B 0.000 0.000 0.000 x1
P 0.500 0.500 0.500 x1

| no. | M_tot (μB per atom) |
| --- | --- |
| 1 | 0.0000 |
| 2 | 0.0000 |
| 3 | 0.2355 |
| 4 | 0.0000 |
| 5 | 0.2649 |
| 6 | 0.0111 |
| 7 | 0.0000 |
| 8 | 0.0000 |
| 9 | 0.0000 |
| 10 | 0.0000 |
| 11 | 0.0001 |
| 12 | 0.0000 |